This record from Alexandria via LeMat-Bulk describes a relaxed structure of Pr3SmBi4. The functional is PBE-GGA.

a = 6.5319 Å, b = 6.5319 Å, c = 6.5319 Å
α = 90.00°, β = 90.00°, γ = 90.00°
With the nearest neighbours (Å) after each atom.
Element x y z (fractional)
Pr1 0.0000 0.0000 0.5000  6 Bi 3.27
Pr2 0.0000 0.5000 0.0000  6 Bi 3.27
Pr3 0.5000 0.0000 0.0000  6 Bi 3.27
Sm1 0.5000 0.5000 0.5000  6 Bi 3.27
Bi1 0.0000 0.0000 0.0000  6 Pr 3.27
Bi2 0.0000 0.5000 0.5000  2 Sm 3.27, 4 Pr 3.27
Bi3 0.5000 0.0000 0.5000  2 Sm 3.27, 4 Pr 3.27
Bi4 0.5000 0.5000 0.0000  2 Sm 3.27, 4 Pr 3.27

Output
* calculated formation energy: -955 meV/atom
* relative energy among the computed polymorphs: 0 meV/atom
* crystal system: cubic
* N(E_F): 0.47 states/eV/cell

This record from Alexandria via LeMat-Bulk describes a relaxed structure of PrSm2Bi2. The functional is PBE-GGA.

a = 6.5202 Å, b = 6.5542 Å, c = 8.3706 Å
α = 90.00°, β = 112.79°, γ = 90.00°
With the nearest neighbours (Å) after each atom.
Element x y z (fractional)
Pr1 0.0000 0.0000 0.0000  8 Bi 3.61-3.64
Pr2 0.5000 0.5000 0.0000  8 Bi 3.61-3.64
Sm1 0.0000 0.2508 0.5000  4 Bi 3.25, 4 Sm 3.26-3.29
Sm2 0.0000 0.7492 0.5000  4 Bi 3.25, 4 Sm 3.26-3.29
Sm3 0.5000 0.2492 0.5000  4 Bi 3.25, 4 Sm 3.26-3.29
Sm4 0.5000 0.7508 0.5000  4 Bi 3.25, 4 Sm 3.26-3.29
Bi1 0.1039 0.5000 0.2045  1 Bi 3.16, 4 Sm 3.25
Bi2 0.3961 0.0000 0.7955  1 Bi 3.16, 4 Sm 3.25
Bi3 0.6039 0.0000 0.2045  1 Bi 3.16, 4 Sm 3.25
Bi4 0.8961 0.5000 0.7955  1 Bi 3.16, 4 Sm 3.25

Output
* calculated formation energy: -506 meV/atom
* crystal system: monoclinic
* N(E_F): 9.22 states/eV/cell